RbNa2NiF8 | GGA+U | optimized geometry

The structure in POSCAR format:
```
RbNa2NiF8
1.0
4.916 0.000 0.000
1.051 5.219 0.000
2.383 -0.204 6.878
Rb Na Ni F
1 2 1 8
Direct
0.000 0.000 0.000
0.333 0.542 0.310
0.667 0.458 0.690
0.500 0.000 0.500
0.182 0.253 0.595
0.295 0.756 0.608
0.300 0.477 0.008
0.410 0.978 0.281
0.590 0.022 0.719
0.700 0.523 0.992
0.705 0.244 0.392
0.818 0.747 0.405
```

Crystal system ... triclinic
Electronic total energy ... -3.791 eV per atom